Entry from the Alexandria database: crystalline ZrCdRu2 at its relaxed geometry (GGA-PBE).

N(E_F) (states/eV/cell): 8.47
Energy of formation from the pure elements (meV/atom): 516
Raw total energy (eV for the cell shown): -51.90

a = 4.1588 Å, b = 4.1588 Å, c = 9.5510 Å
α = 77.43°, β = 77.43°, γ = 90.00°
With the nearest neighbours (Å) after each atom.
Atoms (fractional coordinates):
Zr: 0.2500 0.7500 0.5000  4 Ru 2.61
Zr: 0.5000 0.5000 0.0000  4 Ru 2.61
Ru: 0.1934 0.6250 0.2500  2 Ru 2.57, 2 Zr 2.61, 2 Cd 2.83
Ru: 0.8750 0.8066 0.7500  2 Ru 2.57, 2 Zr 2.61, 2 Cd 2.83
Ru: 0.5566 0.1250 0.2500  2 Ru 2.57, 2 Zr 2.61, 2 Cd 2.83
Ru: 0.3750 0.4434 0.7500  2 Ru 2.57, 2 Zr 2.61, 2 Cd 2.83
Cd: 0.0000 0.0000 0.0000  4 Ru 2.83, 4 Zr 2.94
Cd: 0.7500 0.2500 0.5000  4 Ru 2.83, 4 Zr 2.94

***

Entry from the Alexandria database: crystalline Ti3FeNi at its relaxed geometry (GGA-PBE).

N(E_F) (states/eV/cell): 9.34
Energy relative to the lowest polymorph listed for this composition (eV/atom): 0.0000
Energy of formation from the pure elements (meV/atom): 431
Raw total energy (eV for the cell shown): -35.77

a = 4.4187 Å, b = 4.4187 Å, c = 4.4187 Å
α = 90.00°, β = 90.00°, γ = 90.00°
With the nearest neighbours (Å) after each atom.
Atoms (fractional coordinates):
Ni: 0.5000 0.5000 0.5000  12 Ti 3.12
Ti: 0.0000 0.0000 0.5000  2 Fe 2.21
Ti: 0.5000 0.0000 0.0000  2 Fe 2.21
Ti: 0.0000 0.5000 0.0000  2 Fe 2.21
Fe: 0.0000 0.0000 0.0000  6 Ti 2.21

***

Entry from the Alexandria database: crystalline Tb2Pr3Dy8 at its relaxed geometry (GGA-PBE).

N(E_F) (states/eV/cell): 22.02
Energy relative to the lowest polymorph listed for this composition (eV/atom): 0.1596
Energy of formation from the pure elements (meV/atom): 247
Raw total energy (eV for the cell shown): -57.20

a = 5.6666 Å, b = 7.7312 Å, c = 10.8125 Å
α = 110.95°, β = 90.06°, γ = 90.00°
With the nearest neighbours (Å) after each atom.
Atoms (fractional coordinates):
Dy: 0.4996 0.5994 0.7814  1 Pr 3.15, 3 Dy 3.23-3.50, 2 Tb 3.42-3.49
Dy: 0.0006 0.8642 0.7284  2 Tb 3.54-3.55, 4 Pr 3.56-3.95, 7 Dy 3.65-3.93
Dy: 0.0013 0.6719 0.3439  2 Tb 3.33, 4 Dy 3.49-3.50
Dy: 0.5004 0.8180 0.2186  1 Pr 3.15, 3 Dy 3.23-3.50, 2 Tb 3.42-3.49
Dy: 0.9994 0.1358 0.2716  2 Tb 3.54-3.55, 4 Pr 3.56-3.95, 7 Dy 3.65-3.93
Dy: 0.9987 0.3281 0.6561  2 Tb 3.33, 4 Dy 3.49-3.50
Dy: 0.4996 0.1820 0.7814  1 Pr 3.15, 3 Dy 3.23-3.50, 2 Tb 3.42-3.49
Dy: 0.5004 0.4006 0.2186  1 Pr 3.15, 3 Dy 3.23-3.50, 2 Tb 3.42-3.49
Pr: 0.0000 0.2926 0.0000  1 Pr 3.21, 2 Dy 3.56
Pr: 0.5000 0.0000 0.0000  4 Dy 3.15
Pr: 0.0000 0.7074 0.0000  1 Pr 3.21, 2 Dy 3.56
Tb: 0.5017 0.7585 0.5170  8 Dy 3.33-3.55
Tb: 0.4983 0.2415 0.4830  8 Dy 3.33-3.55